Computed, not measured: an optimized crystal structure of NdTm4Sc4 at the PBE-GGA level of DFT.

POSCAR file:
```
NdTm4Sc4
1.0
4.8007 0.0000 0.0000
2.4003 7.2388 0.0000
2.4003 0.0000 7.2388
Nd Tm Sc
1 4 4
direct
0.0000 0.0000 0.0000
0.6694 0.3306 0.3305
0.3306 0.6694 0.6695
0.9999 0.6695 0.3306
0.0001 0.3305 0.6694
0.6683 0.6634 0.0000
0.3317 0.3366 0.0000
0.6683 0.0000 0.6634
0.3317 0.0000 0.3366
```

Total moment   0.00 μB/cell
ΔH_f (0 K)   0.5 eV per formula unit
Density of states at the Fermi level   1.52 states/eV/atom
E_tot   -5.2750 eV/atom

Computed, not measured: an optimized crystal structure of Nd2Tm4Sc5 at the PBE-GGA level of DFT.

POSCAR file:
```
Nd2Tm4Sc5
1.0
3.4153 0.0000 0.0000
0.0000 8.0800 -2.2009
0.0000 -1.1290 11.8916
Nd Tm Sc
2 4 5
direct
0.0000 0.8795 0.6011
0.0000 0.1205 0.3989
0.5000 0.2685 0.7433
0.5000 0.7256 0.8520
0.5000 0.7315 0.2567
0.5000 0.2744 0.1480
0.0000 0.5073 0.3786
0.0000 0.9171 0.1001
0.0000 0.5000 0.0000
0.0000 0.0829 0.8999
0.0000 0.4927 0.6214
```

Total moment   1.53 μB/cell
ΔH_f (0 K)   1.5 eV per formula unit
Density of states at the Fermi level   1.63 states/eV/atom
E_tot   -5.2387 eV/atom

Computed, not measured: an optimized crystal structure of NdTm6Sc at the PBE-GGA level of DFT.

POSCAR file:
```
NdTm6Sc
1.0
4.9068 0.0000 0.0000
0.0000 6.9278 -0.7785
0.0000 0.7816 6.9275
Nd Tm Sc
1 6 1
direct
0.5000 0.0000 0.0000
0.5000 0.0000 0.5000
0.5000 0.5000 0.0000
0.0000 0.2545 0.2545
0.0000 0.7455 0.7455
0.0000 0.7457 0.2543
0.0000 0.2543 0.7457
0.5000 0.5000 0.5000
```

Total moment   0.00 μB/cell
ΔH_f (0 K)   0.3 eV per formula unit
Density of states at the Fermi level   1.26 states/eV/atom
E_tot   -4.7040 eV/atom

Computed, not measured: an optimized crystal structure of NdTmSc5 at the PBE-GGA level of DFT.

POSCAR file:
```
NdTmSc5
1.0
-4.4064 -0.4385 -2.5646
-0.0035 -5.0430 0.8683
-3.8717 1.1152 6.4614
Nd Tm Sc
1 1 5
direct
0.0000 0.0000 0.5000
0.5000 0.5000 0.0000
0.0000 0.5000 0.7766
0.0000 0.5000 0.2234
0.5000 0.0000 0.7766
0.5000 0.0000 0.2234
0.5000 0.5000 0.5000
```

Total moment   0.00 μB/cell
ΔH_f (0 K)   2.5 eV per formula unit
Density of states at the Fermi level   1.67 states/eV/atom
E_tot   -5.4783 eV/atom

Computed, not measured: an optimized crystal structure of Nd3Tm5Sc3 at the PBE-GGA level of DFT.

POSCAR file:
```
Nd3Tm5Sc3
1.0
3.3671 0.0000 0.0000
0.0000 10.8498 0.0000
0.0000 -5.4249 9.3962
Nd Tm Sc
3 5 3
direct
0.5000 0.6573 0.6573
0.5000 0.0000 0.3427
0.5000 0.3427 0.0000
0.5000 0.3333 0.6667
0.5000 0.6667 0.3333
0.5000 0.1658 0.1658
0.5000 0.0000 0.8342
0.5000 0.8342 0.0000
0.0000 0.4088 0.4088
0.0000 0.5912 0.0000
0.0000 0.0000 0.5912
```

Total moment   0.00 μB/cell
ΔH_f (0 K)   3.9 eV per formula unit
Density of states at the Fermi level   1.78 states/eV/atom
E_tot   -4.7053 eV/atom

Computed, not measured: an optimized crystal structure of Nd5Tm2Sc2 at the PBE-GGA level of DFT.

POSCAR file:
```
Nd5Tm2Sc2
1.0
-1.9823 -2.9813 -0.0906
7.0419 -6.9051 2.3689
1.1257 -3.1672 8.8113
Nd Tm Sc
5 2 2
direct
0.3357 0.9866 0.3420
0.6643 0.0134 0.6580
0.1853 0.6687 0.9607
0.8147 0.3313 0.0393
0.0000 0.0000 0.0000
0.1388 0.3489 0.3734
0.8612 0.6511 0.6266
0.4833 0.3389 0.6945
0.5167 0.6611 0.3055
```

Total moment   0.00 μB/cell
ΔH_f (0 K)   0.3 eV per formula unit
Density of states at the Fermi level   1.46 states/eV/atom
E_tot   -5.0217 eV/atom